Entry 1:
Entry from the Alexandria database: Sr2CoGe5 after structural relaxation (PBE-GGA).

Geometry as POSCAR:
```
Sr2CoGe5
1.0
-0.559 4.540 -3.975
-6.003 -0.012 0.830
3.776 0.977 5.206
Sr Co Ge
2 1 5
Direct
0.268 0.768 0.535
0.768 0.268 0.535
0.968 0.968 0.936
0.734 0.293 0.027
0.293 0.293 0.027
0.734 0.734 0.027
0.293 0.734 0.027
0.720 0.720 0.440
```

Properties
* crystal system: tetragonal


Entry 2:
Entry from the Alexandria database: ScTi after structural relaxation (PBE-GGA).

Geometry as POSCAR:
```
ScTi
1.0
10.832 0.000 0.000
0.000 8.297 0.000
0.000 0.000 7.511
Sc Ti
16 16
Direct
0.000 0.174 0.000
0.000 0.826 0.000
0.250 0.576 0.250
0.250 0.924 0.250
0.000 0.674 0.500
0.000 0.326 0.500
0.250 0.076 0.750
0.250 0.424 0.750
0.500 0.174 0.500
0.500 0.826 0.500
0.750 0.576 0.750
0.750 0.924 0.750
0.500 0.674 0.000
0.500 0.326 0.000
0.750 0.076 0.250
0.750 0.424 0.250
0.000 0.000 0.345
0.000 0.000 0.655
0.250 0.750 0.905
0.250 0.750 0.595
0.000 0.500 0.845
0.000 0.500 0.155
0.250 0.250 0.405
0.250 0.250 0.095
0.500 0.000 0.845
0.500 0.000 0.155
0.750 0.750 0.405
0.750 0.750 0.095
0.500 0.500 0.345
0.500 0.500 0.655
0.750 0.250 0.905
0.750 0.250 0.595
```

Properties
* crystal system: orthorhombic


Entry 3:
Entry from the Alexandria database: Tb2Nd5SmY after structural relaxation (PBE-GGA).

Geometry as POSCAR:
```
Tb2Nd5SmY
1.0
5.694 0.000 0.000
-2.847 10.287 0.000
0.000 0.000 10.724
Tb Nd Sm Y
4 10 2 2
Direct
0.884 0.768 0.815
0.112 0.224 0.736
0.116 0.232 0.315
0.888 0.776 0.236
0.389 0.778 0.024
0.721 0.442 0.811
0.481 0.961 0.743
0.297 0.593 0.705
0.985 0.969 0.520
0.611 0.222 0.524
0.279 0.558 0.311
0.519 0.039 0.243
0.703 0.407 0.205
0.015 0.031 0.020
0.799 0.599 0.510
0.201 0.401 0.010
0.592 0.183 0.959
0.408 0.817 0.459
```

Properties
* crystal system: orthorhombic


Entry 4:
Entry from the Alexandria database: AgSn2Pd2 after structural relaxation (PBE-GGA).

Geometry as POSCAR:
```
AgSn2Pd2
1.0
7.699 0.000 0.000
0.000 7.699 0.000
0.000 0.000 3.320
Pd Sn Ag
4 4 2
Direct
0.139 0.639 0.500
0.639 0.861 0.500
0.861 0.361 0.500
0.361 0.139 0.500
0.344 0.844 0.000
0.844 0.656 0.000
0.656 0.156 0.000
0.156 0.344 0.000
0.000 0.000 0.000
0.500 0.500 0.000
```

Properties
* crystal system: tetragonal


| no. | energy relative to the elements (eV per atom) |
| --- | --- |
| 1 | -0.305 |
| 2 | 0.410 |
| 3 | 0.145 |
| 4 | -0.244 |